Here is a geometry-optimized SiTcRu2 structure from Alexandria. Energies are from PBE.

Cell and atoms, written as POSCAR:
```
SiTcRu2
1.0
-2.7344 2.7344 5.3189
2.7344 -2.7344 5.3189
2.7344 2.7344 -5.3189
Si Tc Ru
2 2 4
direct
0.0000 0.0000 0.0000
0.7500 0.2500 0.5000
0.2500 0.7500 0.5000
0.5000 0.5000 0.0000
0.1167 0.6250 0.9917
0.3750 0.3667 0.4917
0.6333 0.1250 0.0083
0.8750 0.8833 0.5083
```

## Properties
Crystal system: tetragonal
SG: I-42d
Raw formation energy, eV per atom: 0.712

Here is a geometry-optimized SiTcRu2 structure from Alexandria. Energies are from PBE.

Cell and atoms, written as POSCAR:
```
SiTcRu2
1.0
2.8605 0.0000 0.0000
0.0000 2.8605 0.0000
0.0000 0.0000 6.6146
Si Tc Ru
1 1 2
direct
0.0000 0.0000 0.0000
0.5000 0.5000 0.2393
0.0000 0.0000 0.5018
0.5000 0.5000 0.7920
```

## Properties
Crystal system: tetragonal
SG: P4mm
Raw formation energy, eV per atom: -0.254

Here is a geometry-optimized SiTc4Ru structure from Alexandria. Energies are from PBE.

Cell and atoms, written as POSCAR:
```
SiTc4Ru
1.0
0.0000 3.5711 3.5711
3.5711 0.0000 3.5711
3.5711 3.5711 0.0000
Si Tc Ru
1 4 1
direct
0.0000 0.0000 0.0000
0.1235 0.6255 0.6255
0.6255 0.1235 0.6255
0.6255 0.6255 0.1235
0.6255 0.6255 0.6255
0.2500 0.2500 0.2500
```

## Properties
Crystal system: cubic
SG: F-43m
Raw formation energy, eV per atom: 0.506

Here is a geometry-optimized TmSi3TcRu structure from Alexandria. Energies are from PBE.

Cell and atoms, written as POSCAR:
```
TmSi3TcRu
1.0
3.8550 -5.4128 0.0000
3.8550 5.4128 0.0000
0.0000 0.0000 5.4678
Tm Si Tc Ru
2 6 2 2
direct
0.2409 0.7591 0.7500
0.7591 0.2409 0.2500
0.2495 0.2495 0.0000
0.2495 0.2495 0.5000
0.2577 0.7423 0.2500
0.7423 0.2577 0.7500
0.7505 0.7505 0.0000
0.7505 0.7505 0.5000
0.0528 0.9472 0.2500
0.9472 0.0528 0.7500
0.4591 0.5409 0.2500
0.5409 0.4591 0.7500
```

## Properties
Crystal system: orthorhombic
SG: Cmcm
Raw formation energy, eV per atom: -0.342

Here is a geometry-optimized TmSi2TcRu structure from Alexandria. Energies are from PBE.

Cell and atoms, written as POSCAR:
```
TmSi2TcRu
1.0
-2.0949 2.0949 4.7820
2.0949 -2.0949 4.7820
2.0949 2.0949 -4.7820
Tm Si Tc Ru
1 2 1 1
direct
0.0000 0.0000 0.0000
0.3713 0.3713 0.0000
0.6287 0.6287 0.0000
0.7500 0.2500 0.5000
0.2500 0.7500 0.5000
```

## Properties
Crystal system: tetragonal
SG: I-4m2
Raw formation energy, eV per atom: -0.745

Here is a geometry-optimized USiTcRu structure from Alexandria. Energies are from PBE.

Cell and atoms, written as POSCAR:
```
USiTcRu
1.0
0.0000 3.2073 3.2073
3.2073 0.0000 3.2073
3.2073 3.2073 0.0000
U Si Tc Ru
1 1 1 1
direct
0.0000 0.0000 0.0000
0.5000 0.5000 0.5000
0.7500 0.7500 0.7500
0.2500 0.2500 0.2500
```

## Properties
Crystal system: cubic
SG: F-43m
Raw formation energy, eV per atom: -0.262

Here is a geometry-optimized YSi2TcRu structure from Alexandria. Energies are from PBE.

Cell and atoms, written as POSCAR:
```
YSi2TcRu
1.0
-2.1031 2.1031 4.8284
2.1031 -2.1031 4.8284
2.1031 2.1031 -4.8284
Y Si Tc Ru
1 2 1 1
direct
0.0000 0.0000 0.0000
0.3697 0.3697 0.0000
0.6303 0.6303 0.0000
0.2500 0.7500 0.5000
0.7500 0.2500 0.5000
```

## Properties
Crystal system: tetragonal
SG: I-4m2
Raw formation energy, eV per atom: -0.754

Here is a geometry-optimized ZnSiTcRu structure from Alexandria. Energies are from PBE.

Cell and atoms, written as POSCAR:
```
ZnSiTcRu
1.0
0.0000 2.9869 2.9869
2.9869 0.0000 2.9869
2.9869 2.9869 0.0000
Zn Si Tc Ru
1 1 1 1
direct
0.0000 0.0000 0.0000
0.5000 0.5000 0.5000
0.2500 0.2500 0.2500
0.7500 0.7500 0.7500
```

## Properties
Crystal system: cubic
SG: F-43m
Raw formation energy, eV per atom: -0.192

Number 1: energy -0.5787 Ry per atom. Number 2: energy -0.6497 Ry per atom. Number 3: energy -0.6508 Ry per atom. Number 4: energy -0.5198 Ry per atom. Number 5: energy -0.5687 Ry per atom. Number 6: energy -0.6872 Ry per atom. Number 7: energy -0.5986 Ry per atom. Number 8: energy -0.4981 Ry per atom.